*1*
## SnPdRhAu (PBE)

Data for an optimized crystal structure of SnPdRhAu.

Calculated density: 12.924 g/cm3
Spin magnetization: 0.0 μB per formula unit

The structure in extended XYZ format:
```
4
Lattice="3.826 0.000 0.000 0.000 4.122 0.000 0.000 0.000 4.278" Properties=species:S:1:pos:R:3 pbc="T T T"
Au 0.000 2.061 2.139
Pd 1.913 0.000 2.139
Rh 1.913 2.061 0.000
Sn 0.000 0.000 0.000
```

*2*
## SnPdRhAu (PBE)

Data for an optimized crystal structure of SnPdRhAu.

Calculated density: 12.867 g/cm3
Spin magnetization: 0.0 μB per formula unit

The structure in extended XYZ format:
```
4
Lattice="4.576 0.000 0.000 2.288 3.963 0.000 2.288 1.321 3.736" Properties=species:S:1:pos:R:3 pbc="T T T"
Rh 4.576 2.642 1.868
Pd 0.000 0.000 0.000
Au 6.864 3.963 2.802
Sn 2.288 1.321 0.934
```

*1* wins, 27 meV/atom ahead of the next structure.

*1*
## ThPdRhAu (PBE)

Data for an optimized crystal structure of ThPdRhAu.

Calculated density: 13.566 g/cm3
Spin magnetization: 0.0 μB per formula unit

The structure in extended XYZ format:
```
4
Lattice="4.799 0.000 0.000 2.399 4.156 0.000 2.399 1.385 3.918" Properties=species:S:1:pos:R:3 pbc="T T T"
Pd 2.399 1.385 0.980
Rh 7.198 4.156 2.939
Th 4.799 2.770 1.959
Au 0.000 0.000 0.000
```

*2*
## ThPdRhAu (PBE)

Data for an optimized crystal structure of ThPdRhAu.

Calculated density: 13.848 g/cm3
Spin magnetization: 0.0 μB per formula unit

The structure in extended XYZ format:
```
4
Lattice="4.007 0.000 0.000 0.000 4.219 0.000 0.000 0.000 4.528" Properties=species:S:1:pos:R:3 pbc="T T T"
Au 2.003 2.109 0.000
Pd 0.000 0.000 0.000
Th 2.003 0.000 2.264
Rh 0.000 2.109 2.264
```

*2* wins, 144 meV/atom ahead of the next structure.

*1*
## TmPdRhAu (PBE)

Data for an optimized crystal structure of TmPdRhAu.

Calculated density: 13.714 g/cm3
Spin magnetization: 0.0 μB per formula unit

The structure in extended XYZ format:
```
4
Lattice="4.182 0.000 0.000 0.000 3.912 0.000 0.000 0.000 4.257" Properties=species:S:1:pos:R:3 pbc="T T T"
Rh 2.091 1.956 0.000
Tm 0.000 0.000 0.000
Au 2.091 0.000 2.128
Pd 0.000 1.956 2.128
```

*2*
## TmPdRhAu (PBE)

Data for an optimized crystal structure of TmPdRhAu.

Calculated density: 13.421 g/cm3
Spin magnetization: 0.0 μB per formula unit

The structure in extended XYZ format:
```
4
Lattice="4.652 0.000 0.000 2.326 4.028 0.000 2.326 1.343 3.798" Properties=species:S:1:pos:R:3 pbc="T T T"
Tm 4.652 2.686 1.899
Pd 2.326 1.343 0.950
Au 0.000 0.000 0.000
Rh 6.977 4.028 2.849
```

*1* wins, 123 meV/atom ahead of the next structure.

*1*
## PdRu2Au (PBE)

Data for an optimized crystal structure of PdRu2Au.

Calculated density: 13.622 g/cm3
Spin magnetization: 0.0 μB per formula unit

The structure in extended XYZ format:
```
4
Lattice="0.000 3.135 3.135 3.135 0.000 3.135 3.135 3.135 0.000" Properties=species:S:1:pos:R:3 pbc="T T T"
Ru 1.567 1.567 1.567
Ru 4.702 4.702 4.702
Pd 0.000 0.000 0.000
Au 3.135 3.135 3.135
```

*2*
## PdRu2Au (PBE)

Data for an optimized crystal structure of PdRu2Au.

Calculated density: 12.506 g/cm3
Spin magnetization: 0.0 μB per formula unit

The structure in extended XYZ format:
```
8
Lattice="7.175 0.000 0.000 0.000 7.175 0.000 3.587 3.587 2.608" Properties=species:S:1:pos:R:3 pbc="T T T"
Au 7.175 3.587 1.304
Au 0.000 0.000 0.000
Ru 1.849 5.381 0.652
Ru 5.381 5.436 1.956
Ru 5.326 1.794 0.652
Ru 8.968 8.913 1.956
Pd 3.587 7.175 1.304
Pd 3.587 3.587 0.000
```

*1* wins, 331 meV/atom ahead of the next structure.

*1*
## Pd2Au2S (PBE)

Data for an optimized crystal structure of Pd2Au2S.

Calculated density: 11.870 g/cm3
Spin magnetization: 0.0 μB per formula unit

The structure in extended XYZ format:
```
10
Lattice="6.781 0.000 0.000 0.000 6.781 0.000 0.000 0.000 3.887" Properties=species:S:1:pos:R:3 pbc="T T T"
Au 1.030 2.360 0.000
Au 2.360 5.751 0.000
Au 4.421 1.030 0.000
Au 5.751 4.421 0.000
Pd 4.408 5.764 1.943
Pd 2.374 1.017 1.943
Pd 5.764 2.374 1.943
Pd 1.017 4.408 1.943
S 3.391 3.391 0.000
S 0.000 0.000 0.000
```

*2*
## Pd2Au2S (PBE)

Data for an optimized crystal structure of Pd2Au2S.

Calculated density: 12.054 g/cm3
Spin magnetization: 0.0 μB per formula unit

The structure in extended XYZ format:
```
10
Lattice="6.320 0.000 0.000 0.000 6.320 0.000 0.000 0.000 4.407" Properties=species:S:1:pos:R:3 pbc="T T T"
Au 4.124 5.355 2.203
Au 2.195 0.965 2.203
Au 0.965 4.124 2.203
Au 5.355 2.195 2.203
S 3.160 3.160 0.000
S 0.000 0.000 0.000
Pd 1.036 2.124 0.000
Pd 5.283 4.196 0.000
Pd 4.196 1.036 0.000
Pd 2.124 5.283 0.000
```

*2* wins, 216 meV/atom ahead of the next structure.

*1*
## Pd2AuS (PBE)

Data for an optimized crystal structure of Pd2AuS.

Calculated density: 10.796 g/cm3
Spin magnetization: 0.0 μB per formula unit

The structure in extended XYZ format:
```
8
Lattice="-0.665 -6.582 -2.612 5.891 0.942 -3.872 4.098 -3.774 -1.216" Properties=species:S:1:pos:R:3 pbc="T T T"
S 6.301 -2.826 -4.165
S 2.613 -2.820 -3.242
Au 3.023 -6.588 -3.535
Au 0.000 0.000 0.000
Pd 7.352 -7.813 -6.392
Pd 4.590 -1.507 -3.181
Pd 1.379 -4.610 -2.290
Pd 5.328 -4.899 -3.537
```

*2*
## Pd2AuS (PBE)

Data for an optimized crystal structure of Pd2AuS.

Calculated density: 10.798 g/cm3
Spin magnetization: 0.0 μB per formula unit

The structure in extended XYZ format:
```
4
Lattice="2.936 0.000 0.000 1.468 2.543 0.000 1.468 0.848 9.101" Properties=species:S:1:pos:R:3 pbc="T T T"
Au 0.000 0.000 0.000
Pd 4.404 2.543 2.745
Pd 1.468 0.848 6.356
S 2.936 1.695 4.551
```

*1* wins, 61 meV/atom ahead of the next structure.

*1*
## Sb2Pd2Au (PBE)

Data for an optimized crystal structure of Sb2Pd2Au.

Calculated density: 9.518 g/cm3
Spin magnetization: 0.0 μB per formula unit

The structure in extended XYZ format:
```
5
Lattice="4.572 0.000 0.000 0.000 4.572 0.000 2.286 2.286 5.453" Properties=species:S:1:pos:R:3 pbc="T T T"
Pd 2.286 2.286 1.305
Pd 4.572 4.572 4.148
Sb 2.286 4.572 2.727
Sb 4.572 2.286 2.727
Au 0.000 0.000 0.000
```

*2*
## Sb2Pd2Au (PBE)

Data for an optimized crystal structure of Sb2Pd2Au.

Calculated density: 10.149 g/cm3
Spin magnetization: 0.0 μB per formula unit

The structure in extended XYZ format:
```
5
Lattice="-2.898 1.824 -1.810 -1.927 0.263 3.350 0.716 7.310 2.078" Properties=species:S:1:pos:R:3 pbc="T T T"
Sb -2.401 6.941 2.553
Sb -1.707 2.457 1.065
Au 0.000 0.000 0.000
Pd -2.297 5.089 0.519
Pd -1.811 4.308 3.099
```

*2* wins, 162 meV/atom ahead of the next structure.

*1*
## Sb2Pd2Au (PBE)

Data for an optimized crystal structure of Sb2Pd2Au.

Calculated density: 10.810 g/cm3
Spin magnetization: 0.0 μB per formula unit

The structure in extended XYZ format:
```
10
Lattice="7.394 0.000 0.000 0.000 7.394 0.000 0.000 0.000 3.672" Properties=species:S:1:pos:R:3 pbc="T T T"
Au 0.000 0.000 0.000
Au 3.697 3.697 0.000
Pd 1.014 2.683 0.000
Pd 4.711 1.014 0.000
Pd 2.683 6.380 0.000
Pd 6.380 4.711 0.000
Sb 1.211 4.908 1.836
Sb 6.182 2.485 1.836
Sb 2.485 1.211 1.836
Sb 4.908 6.182 1.836
```

*2*
## Sb2Pd2Au (PBE)

Data for an optimized crystal structure of Sb2Pd2Au.

Calculated density: 10.655 g/cm3
Spin magnetization: 0.0 μB per formula unit

The structure in extended XYZ format:
```
10
Lattice="7.915 0.000 0.000 0.000 7.915 0.000 0.000 0.000 3.250" Properties=species:S:1:pos:R:3 pbc="T T T"
Pd 2.954 1.004 1.625
Pd 6.912 2.954 1.625
Pd 4.961 6.912 1.625
Pd 1.004 4.961 1.625
Au 0.000 0.000 0.000
Au 3.958 3.958 0.000
Sb 1.349 2.609 0.000
Sb 5.307 1.349 0.000
Sb 6.566 5.307 0.000
Sb 2.609 6.566 0.000
```

*1* wins, 74 meV/atom ahead of the next structure.

*1*
## Sb2Pd6Au (PBE)

Data for an optimized crystal structure of Sb2Pd6Au.

Calculated density: 10.885 g/cm3
Spin magnetization: 0.0 μB per formula unit

The structure in extended XYZ format:
```
9
Lattice="4.557 -0.462 -0.268 -0.822 6.083 -0.905 -0.822 2.246 5.725" Properties=species:S:1:pos:R:3 pbc="T T T"
Pd 0.414 5.488 1.528
Pd 0.414 4.059 3.998
Pd 0.409 6.864 3.972
Pd 2.500 3.808 0.555
Pd 2.505 1.003 0.580
Pd 2.500 2.378 3.025
Sb 2.701 5.178 2.996
Sb 0.213 2.689 1.556
Au 0.000 0.000 0.000
```

*2*
## Sb2Pd6Au (PBE)

Data for an optimized crystal structure of Sb2Pd6Au.

Calculated density: 11.679 g/cm3
Spin magnetization: 0.0 μB per formula unit

The structure in extended XYZ format:
```
9
Lattice="4.192 0.000 0.000 -2.096 4.237 -1.111 0.000 0.323 8.553" Properties=species:S:1:pos:R:3 pbc="T T T"
Pd 2.096 1.543 2.993
Pd 2.096 1.376 0.112
Pd 2.096 4.235 0.366
Pd 0.000 3.184 7.330
Pd 0.000 0.325 7.076
Pd 0.000 3.018 4.449
Au 0.000 0.162 4.276
Sb 2.096 1.814 5.968
Sb 0.000 2.747 1.474
```

*2* wins, 123 meV/atom ahead of the next structure.

*1*
## SbPd6Au2 (PBE)

Data for an optimized crystal structure of SbPd6Au2.

Calculated density: 11.766 g/cm3
Spin magnetization: 0.0 μB per formula unit

The structure in extended XYZ format:
```
9
Lattice="4.026 -0.001 1.107 0.891 6.168 4.674 0.072 1.486 7.646" Properties=species:S:1:pos:R:3 pbc="T T T"
Au 4.150 4.724 8.583
Au 0.776 3.089 5.079
Pd 3.270 3.612 3.879
Pd 1.664 4.141 9.750
Pd 2.252 2.745 7.594
Pd 2.093 6.595 8.192
Pd 2.662 5.093 6.104
Pd 2.851 1.212 5.403
Sb 1.204 7.056 11.445
```

*2*
## SbPd6Au2 (PBE)

Data for an optimized crystal structure of SbPd6Au2.

Calculated density: 12.821 g/cm3
Spin magnetization: 0.0 μB per formula unit

The structure in extended XYZ format:
```
9
Lattice="4.143 0.000 0.000 2.072 4.419 0.150 2.072 1.929 8.230" Properties=species:S:1:pos:R:3 pbc="T T T"
Au 4.143 4.208 6.163
Au 4.143 2.140 2.217
Pd 6.215 2.427 6.885
Pd 2.072 1.284 0.491
Pd 4.143 4.824 3.370
Pd 4.143 1.524 5.011
Pd 6.215 5.064 7.889
Pd 2.072 3.922 1.495
Sb 2.072 3.174 4.190
```

*2* wins, 199 meV/atom ahead of the next structure.

*1*
## SbPd4Au2 (PBE)

Data for an optimized crystal structure of SbPd4Au2.

Calculated density: 12.691 g/cm3
Spin magnetization: 0.0 μB per formula unit

The structure in extended XYZ format:
```
14
Lattice="-1.373 -6.816 1.267 4.798 2.671 4.990 -6.159 3.630 -1.064" Properties=species:S:1:pos:R:3 pbc="T T T"
Pd -4.982 1.183 0.232
Pd 2.246 2.130 4.481
Pd -2.613 0.869 3.441
Pd -0.666 -4.419 2.294
Pd -1.797 3.925 2.659
Pd -0.331 -0.190 5.019
Pd 0.817 -2.488 4.128
Pd 1.516 0.003 2.707
Au -1.249 -1.473 2.572
Au -4.060 -1.065 1.938
Au -2.418 -3.116 0.521
Au -2.415 1.903 0.845
Sb -0.200 1.970 3.442
Sb -0.078 -0.210 0.404
```

*2*
## SbPd4Au2 (PBE)

Data for an optimized crystal structure of SbPd4Au2.

Calculated density: 12.058 g/cm3
Spin magnetization: 0.0 μB per formula unit

The structure in extended XYZ format:
```
7
Lattice="0.007 1.228 -5.405 4.627 -2.908 0.925 -4.789 -2.614 0.979" Properties=species:S:1:pos:R:3 pbc="T T T"
Au 2.317 -0.840 -2.240
Au -2.391 -0.693 -2.213
Pd -0.077 -2.147 -1.751
Pd 2.314 -1.454 0.462
Pd 0.004 0.614 -2.703
Pd -2.394 -1.307 0.489
Sb 0.000 0.000 0.000
```

*1* wins, 53 meV/atom ahead of the next structure.

*1*
## Sb2Pd5Au (PBE)

Data for an optimized crystal structure of Sb2Pd5Au.

Calculated density: 10.643 g/cm3
Spin magnetization: 0.0 μB per formula unit

The structure in extended XYZ format:
```
16
Lattice="-0.059 -0.896 -2.896 8.892 0.030 1.398 -0.489 -10.765 3.340" Properties=species:S:1:pos:R:3 pbc="T T T"
Au 2.357 -2.808 0.821
Au 5.988 -8.823 1.021
Pd 4.528 -4.436 1.281
Pd 3.817 -7.195 0.561
Pd -0.004 -1.386 0.429
Pd 8.468 -7.629 0.602
Pd -0.123 -4.002 1.240
Pd 8.349 -10.245 1.413
Pd 6.367 -3.447 -0.650
Pd 3.678 -10.239 1.506
Pd 4.667 -1.392 0.336
Pd 1.978 -8.185 2.492
Sb 6.370 -6.079 0.164
Sb 1.737 -10.805 3.307
Sb 6.608 -0.826 -1.465
Sb 1.975 -5.552 1.678
```

*2*
## Sb2Pd5Au (PBE)

Data for an optimized crystal structure of Sb2Pd5Au.

Calculated density: 10.870 g/cm3
Spin magnetization: 0.0 μB per formula unit

The structure in extended XYZ format:
```
32
Lattice="4.490 0.000 0.000 0.000 14.715 0.000 0.000 0.000 8.995" Properties=species:S:1:pos:R:3 pbc="T T T"
Pd 1.122 13.951 5.967
Pd 1.123 11.747 4.104
Pd 1.123 6.593 7.525
Pd 1.122 6.592 2.159
Pd 1.123 11.536 0.916
Pd 3.367 0.765 3.028
Pd 3.367 3.558 1.981
Pd 3.367 8.122 1.470
Pd 3.367 2.968 4.891
Pd 3.368 10.915 2.516
Pd 1.122 3.800 6.479
Pd 3.367 8.123 6.836
Pd 3.367 0.766 6.656
Pd 3.368 10.537 5.413
Pd 3.368 10.326 8.602
Pd 3.367 3.179 8.079
Pd 1.122 13.950 2.339
Pd 1.122 4.179 3.582
Pd 1.122 4.389 0.393
Pd 1.123 11.158 7.014
Sb 1.122 8.908 0.023
Sb 1.123 8.908 5.572
Sb 1.122 1.550 7.920
Sb 3.367 5.808 8.972
Sb 3.367 5.807 3.423
Sb 1.122 1.550 4.474
Sb 3.367 13.165 4.521
Sb 3.368 13.165 1.075
Au 3.367 5.462 6.093
Au 3.368 12.820 7.400
Au 1.123 9.253 2.902
Au 1.122 1.896 1.595
```

*2* wins, 137 meV/atom ahead of the next structure.